Material: CoPtSO
Method: DFT, GGA+U
State: optimized geometry

Results
Relative energy among the computed polymorphs = 0.813 eV/atom
Space group = P4/nmm, No. 129
Final energy = -37.8 eV/cell

Lattice parameters (Å, degrees): 3.886 3.886 8.086 90.00 90.00 90.00
Fractional coordinates of all 8 atoms:
Co (0.250, 0.250, 0.165)
Co (0.750, 0.750, 0.835)
Pt (0.250, 0.250, 0.696)
Pt (0.750, 0.750, 0.304)
S (0.250, 0.750, 0.500)
S (0.750, 0.250, 0.500)
O (0.250, 0.250, 0.940)
O (0.750, 0.750, 0.060)